1.
First-principles (PBE) data for a geometry-optimized PmZrNiIr structure, as listed in Alexandria.

Calculated values
**Space-group type**: F-43m
**Magnetization**: 0.000 μB per formula unit
**Formation energy**: -0.43 eV per atom

Cell lengths 4.7847, 4.7847, 4.7847 Å; angles 60.00, 60.00, 60.00 degrees
With the nearest neighbours (Å) after each atom.
Positions (direct):
Pm  0.0000  0.0000  0.0000  4 Ir 2.93, 4 Ni 2.93
Zr  0.5000  0.5000  0.5000  4 Ir 2.93, 4 Ni 2.93
Ni  0.2500  0.2500  0.2500  4 Zr 2.93, 4 Pm 2.93
Ir  0.7500  0.7500  0.7500  4 Pm 2.93, 4 Zr 2.93


2.
First-principles (PBE) data for a geometry-optimized Pr4Ni3Ir structure, as listed in Alexandria.

Calculated values
**Space-group type**: Pmm2
**Magnetization**: 0.000 μB per formula unit
**Formation energy**: -0.38 eV per atom

Cell lengths 3.9488, 4.3139, 10.7861 Å; angles 90.00, 90.00, 90.00 degrees
With the nearest neighbours (Å) after each atom.
Positions (direct):
Pr  0.0000  0.0000  0.0000  6 Ni 2.98-3.03, 1 Ir 3.07
Pr  0.0000  0.5000  0.2763  7 Ni 2.94-3.08
Pr  0.5000  0.0000  0.5007  5 Ni 3.00-3.16, 2 Ir 3.04
Pr  0.5000  0.5000  0.7801  4 Ir 3.01, 3 Ni 3.07-3.17
Ni  0.0000  0.5000  0.5619  2 Ir 2.72, 4 Pr 3.00
Ni  0.5000  0.0000  0.2073  2 Ni 2.59
Ni  0.5000  0.5000  0.0739  2 Ni 2.59
Ir  0.0000  0.0000  0.7155  2 Ni 2.72, 6 Pr 3.01-3.04


3.
First-principles (PBE) data for a geometry-optimized Pr3Ni4Ir2 structure, as listed in Alexandria.

Calculated values
**Space-group type**: P-6m2
**Magnetization**: 0.429 μB per formula unit
**Formation energy**: -0.37 eV per atom

Cell lengths 4.1755, 4.1755, 23.9893 Å; angles 90.00, 90.00, 120.00 degrees
With the nearest neighbours (Å) after each atom.
Positions (direct):
Pr  0.0000  0.0000  0.0820  9 Ni 3.11-3.13, 3 Ir 3.13
Pr  0.0000  0.0000  0.2481  9 Ni 3.11-3.13, 3 Ir 3.13
Pr  0.0000  0.0000  0.4127  6 Ni 3.13, 6 Ir 3.19
Pr  0.0000  0.0000  0.5873  6 Ni 3.13, 6 Ir 3.19
Pr  0.0000  0.0000  0.7519  9 Ni 3.11-3.13, 3 Ir 3.13
Pr  0.0000  0.0000  0.9180  9 Ni 3.11-3.13, 3 Ir 3.13
Ni  0.3333  0.6667  0.0000  3 Ni 2.41
Ni  0.3333  0.6667  0.1650  3 Ir 2.41
Ni  0.3333  0.6667  0.3297  3 Ni 2.41
Ni  0.3333  0.6667  0.6703  3 Ni 2.41
Ni  0.3333  0.6667  0.8350  3 Ir 2.41
Ni  0.6667  0.3333  0.0000  3 Ni 2.41
Ni  0.6667  0.3333  0.3297  3 Ni 2.41
Ni  0.6667  0.3333  0.6703  3 Ni 2.41
Ir  0.3333  0.6667  0.5000  3 Ir 2.41
Ir  0.6667  0.3333  0.1651  3 Ni 2.41
Ir  0.6667  0.3333  0.5000  3 Ir 2.41
Ir  0.6667  0.3333  0.8349  3 Ni 2.41


4.
First-principles (PBE) data for a geometry-optimized PrNi3Ir2 structure, as listed in Alexandria.

Calculated values
**Space-group type**: R-3m
**Magnetization**: 0.000 μB per formula unit
**Formation energy**: -0.01 eV per atom

Cell lengths 7.5519, 7.5519, 7.5519 Å; angles 43.13, 43.13, 43.13 degrees
With the nearest neighbours (Å) after each atom.
Positions (direct):
Pr  0.2128  0.2128  0.2128  9 Ni 2.80-2.86, 3 Ir 2.95
Pr  0.7872  0.7872  0.7872  9 Ni 2.80-2.86, 3 Ir 2.95
Ni  0.2611  0.7153  0.7153  2 Ni 2.52, 3 Ir 2.61-2.74, 2 Pr 2.80
Ni  0.2847  0.2847  0.7389  2 Ni 2.52, 3 Ir 2.61-2.74, 2 Pr 2.80
Ni  0.2847  0.7389  0.2847  2 Ni 2.52, 3 Ir 2.61-2.74, 2 Pr 2.80
Ni  0.7153  0.2611  0.7153  2 Ni 2.52, 3 Ir 2.61-2.74, 2 Pr 2.80
Ni  0.7153  0.7153  0.2611  2 Ni 2.52, 3 Ir 2.61-2.74, 2 Pr 2.80
Ni  0.7389  0.2847  0.2847  2 Ni 2.52, 3 Ir 2.61-2.74, 2 Pr 2.80
Ir  0.0000  0.0000  0.0000  6 Ni 2.74, 6 Ir 2.78
Ir  0.0000  0.5000  0.5000  4 Ni 2.61, 6 Ir 2.78
Ir  0.5000  0.0000  0.5000  4 Ni 2.61, 6 Ir 2.78
Ir  0.5000  0.5000  0.0000  4 Ni 2.61, 6 Ir 2.78


5.
First-principles (PBE) data for a geometry-optimized PrNi10Ir2 structure, as listed in Alexandria.

Calculated values
**Space-group type**: Fmmm
**Magnetization**: 3.530 μB per formula unit
**Formation energy**: -0.07 eV per atom

Cell lengths 8.3587, 6.4357, 6.3870 Å; angles 81.36, 49.57, 49.07 degrees
With the nearest neighbours (Å) after each atom.
Positions (direct):
Pr  0.0000  0.0000  0.0000  16 Ni 2.97-3.22, 4 Ir 3.19
Ni  0.0000  0.5000  0.0000  10 Ni 2.38-2.56
Ni  0.0030  0.3554  0.6446  7 Ni 2.42-2.69, 2 Ir 2.61
Ni  0.2689  0.4924  0.5076  5 Ni 2.38-2.63, 2 Ir 2.49
Ni  0.3554  0.0030  0.9970  7 Ni 2.42-2.69, 2 Ir 2.61
Ni  0.4924  0.2689  0.7311  5 Ni 2.38-2.63, 2 Ir 2.49
Ni  0.5000  0.0000  0.5000  10 Ni 2.38-2.56
Ni  0.5076  0.7311  0.2689  5 Ni 2.38-2.63, 2 Ir 2.49
Ni  0.6446  0.9970  0.0030  7 Ni 2.42-2.69, 2 Ir 2.61
Ni  0.7311  0.5076  0.4924  5 Ni 2.38-2.63, 2 Ir 2.49
Ni  0.9970  0.6446  0.3554  7 Ni 2.42-2.69, 2 Ir 2.61
Ir  0.0000  0.0000  0.5000  2 Ir 2.48, 8 Ni 2.49-2.61
Ir  0.5000  0.5000  0.0000  2 Ir 2.48, 8 Ni 2.49-2.61


6.
First-principles (PBE) data for a geometry-optimized Pr2NiIr structure, as listed in Alexandria.

Calculated values
**Space-group type**: Fm-3m
**Magnetization**: 0.000 μB per formula unit
**Formation energy**: -0.39 eV per atom

Cell lengths 5.0221, 5.0221, 5.0221 Å; angles 60.00, 60.00, 60.00 degrees
With the nearest neighbours (Å) after each atom.
Positions (direct):
Pr  0.2500  0.2500  0.2500  4 Ni 3.08, 4 Ir 3.08
Pr  0.7500  0.7500  0.7500  4 Ni 3.08, 4 Ir 3.08
Ni  0.0000  0.0000  0.0000  8 Pr 3.08
Ir  0.5000  0.5000  0.5000  8 Pr 3.08


7.
First-principles (PBE) data for a geometry-optimized PrNi3Ir2 structure, as listed in Alexandria.

Calculated values
**Space-group type**: Cmcm
**Magnetization**: 0.000 μB per formula unit
**Formation energy**: -0.25 eV per atom

Cell lengths 6.2718, 6.2718, 5.1211 Å; angles 90.00, 90.00, 82.23 degrees
With the nearest neighbours (Å) after each atom.
Positions (direct):
Pr  0.1966  0.8034  0.7500  9 Ni 2.99-3.24, 4 Ir 3.34
Pr  0.8034  0.1966  0.2500  9 Ni 2.99-3.24, 4 Ir 3.34
Ni  0.0465  0.5749  0.2500  1 Ni 2.44, 4 Ir 2.47-2.55
Ni  0.4251  0.9535  0.2500  1 Ni 2.44, 4 Ir 2.47-2.55
Ni  0.4363  0.5637  0.2500  2 Ni 2.44, 4 Ir 2.51
Ni  0.5637  0.4363  0.7500  2 Ni 2.44, 4 Ir 2.51
Ni  0.5749  0.0465  0.7500  1 Ni 2.44, 4 Ir 2.47-2.55
Ni  0.9535  0.4251  0.7500  1 Ni 2.44, 4 Ir 2.47-2.55
Ir  0.2780  0.2780  0.0000  6 Ni 2.47-2.55, 2 Ir 2.56
Ir  0.2780  0.2780  0.5000  6 Ni 2.47-2.55, 2 Ir 2.56
Ir  0.7220  0.7220  0.0000  6 Ni 2.47-2.55, 2 Ir 2.56
Ir  0.7220  0.7220  0.5000  6 Ni 2.47-2.55, 2 Ir 2.56


8.
First-principles (PBE) data for a geometry-optimized Pr2NiIr structure, as listed in Alexandria.

Calculated values
**Space-group type**: P2_1/m
**Magnetization**: 0.000 μB per formula unit
**Formation energy**: -0.49 eV per atom

Cell lengths 5.8874, 4.1800, 8.0950 Å; angles 90.00, 110.20, 90.00 degrees
With the nearest neighbours (Å) after each atom.
Positions (direct):
Pr  0.2170  0.2500  0.4316  4 Ir 3.00-3.15, 3 Ni 3.03-3.10
Pr  0.2197  0.2500  0.9275  3 Ir 2.98-3.11, 4 Ni 3.01-3.18
Pr  0.7803  0.7500  0.0725  3 Ir 2.98-3.11, 4 Ni 3.01-3.18
Pr  0.7830  0.7500  0.5684  4 Ir 3.00-3.15, 3 Ni 3.03-3.10
Ni  0.3554  0.7500  0.2122  2 Ir 2.64
Ni  0.6446  0.2500  0.7878  2 Ir 2.64
Ir  0.3531  0.7500  0.7151  2 Ni 2.64
Ir  0.6469  0.2500  0.2849  2 Ni 2.64


9.
First-principles (PBE) data for a geometry-optimized Pr2Ni5Ir structure, as listed in Alexandria.

Calculated values
**Space-group type**: I4mm
**Magnetization**: 0.000 μB per formula unit
**Formation energy**: -0.12 eV per atom

Cell lengths 5.9944, 5.9944, 5.9944 Å; angles 122.56, 122.56, 85.62 degrees
With the nearest neighbours (Å) after each atom.
Positions (direct):
Pr  0.0000  0.5000  0.5000  10 Ni 2.92-3.04
Pr  0.5000  0.0000  0.5000  10 Ni 2.92-3.04
Ni  0.0400  0.0400  0.5859  3 Ni 2.39-2.41, 1 Ir 2.41
Ni  0.0400  0.4541  0.0000  3 Ni 2.39-2.41, 1 Ir 2.41
Ni  0.4435  0.4435  0.0000  1 Ir 2.37, 4 Ni 2.41
Ni  0.4541  0.0400  0.0000  3 Ni 2.39-2.41, 1 Ir 2.41
Ni  0.4541  0.4541  0.4141  3 Ni 2.39-2.41, 1 Ir 2.41
Ir  0.7127  0.7127  0.0000  5 Ni 2.37-2.41


10.
First-principles (PBE) data for a geometry-optimized Pr4NiIr3 structure, as listed in Alexandria.

Calculated values
**Space-group type**: Pmm2
**Magnetization**: 0.000 μB per formula unit
**Formation energy**: -0.54 eV per atom

Cell lengths 4.1008, 4.1980, 11.0395 Å; angles 90.00, 90.00, 90.00 degrees
With the nearest neighbours (Å) after each atom.
Positions (direct):
Pr  0.0000  0.0000  0.0000  5 Ir 3.05, 2 Ni 3.11
Pr  0.0000  0.5000  0.2854  3 Ir 3.02-3.09, 4 Ni 3.04
Pr  0.5000  0.0000  0.5014  6 Ir 3.00-3.20, 1 Ni 3.19
Pr  0.5000  0.5000  0.7870  7 Ir 3.02-3.25
Ni  0.5000  0.0000  0.2120  2 Ir 2.58
Ir  0.0000  0.0000  0.7236  2 Ir 2.78, 5 Pr 3.02-3.05
Ir  0.0000  0.5000  0.5586  2 Ir 2.78, 5 Pr 3.00-3.02
Ir  0.5000  0.5000  0.0763  2 Ni 2.58


What is the formula in the ninth record? Pr2Ni5Ir


Among the records above, which one has the highest magnetization? PrNi10Ir2


magnetization of number 2 (Pr4Ni3Ir)? 0.000 μB per formula unit